Record 1
The following is a GGA-PBE calculation of crystalline LiCoMo3 at its relaxed geometry, from Alexandria via LeMat-Bulk.

Results
- DOS(E_F): 5.38 states/eV/cell
- Total magnetic moment: 0.0000 μB per atom
- Formation energy from the elements: 32.1 kcal/mol of atoms
- Calculated volume: 71.0 Å³ per cell

Unit cell a=4.1415 b=4.1415 c=4.1415 alpha=90.00 beta=90.00 gamma=90.00
Positions (direct):
Li 0.0000 0.0000 0.0000
Co 0.5000 0.5000 0.5000
Mo 0.0000 0.0000 0.5000
Mo 0.0000 0.5000 0.0000
Mo 0.5000 0.0000 0.0000

---

Record 2
The following is a GGA-PBE calculation of crystalline LiCoMo2N at its relaxed geometry, from Alexandria via LeMat-Bulk.

Results
- DOS(E_F): 5.51 states/eV/cell
- Total magnetic moment: 0.0000 μB per atom
- Formation energy without anion corrections: 2042.6 meV/atom
- Calculated volume: 62.0 Å³ per cell

Unit cell a=4.2750 b=4.2750 c=3.3919 alpha=90.00 beta=90.00 gamma=90.00
Positions (direct):
Li 0.0000 0.0000 0.0000
Co 0.0000 0.0000 0.5000
Mo 0.0000 0.5000 0.0000
Mo 0.5000 0.0000 0.0000
N 0.5000 0.5000 0.5000

---

Record 3
The following is a GGA-PBE calculation of crystalline LiCo2NiMo at its relaxed geometry, from Alexandria via LeMat-Bulk.

Results
- DOS(E_F): 5.40 states/eV/cell
- Total magnetic moment: 1.2021 μB per atom
- Formation energy from the elements: 24.4 kcal/mol of atoms
- Calculated volume: 71.0 Å³ per cell

Unit cell a=4.2708 b=4.2708 c=3.8909 alpha=90.00 beta=90.00 gamma=90.00
Positions (direct):
Li 0.0000 0.0000 0.0000
Co 0.0000 0.5000 0.5000
Co 0.5000 0.0000 0.5000
Ni 0.0000 0.0000 0.5000
Mo 0.5000 0.5000 0.0000

---

Record 4
The following is a GGA-PBE calculation of crystalline LiCo2MoRh at its relaxed geometry, from Alexandria via LeMat-Bulk.

Results
- DOS(E_F): 5.89 states/eV/cell
- Total magnetic moment: 1.0379 μB per atom
- Formation energy from the elements: 29.7 kcal/mol of atoms
- Calculated volume: 99.4 Å³ per cell

Unit cell a=4.6298 b=4.6298 c=4.6351 alpha=90.00 beta=90.00 gamma=90.00
Positions (direct):
Li 0.0000 0.0000 0.0000
Co 0.0000 0.5000 0.5000
Co 0.5000 0.0000 0.5000
Mo 0.5000 0.5000 0.0000
Rh 0.5000 0.5000 0.5000

---

Record 5
The following is a GGA-PBE calculation of crystalline LiCoMoRu2 at its relaxed geometry, from Alexandria via LeMat-Bulk.

Results
- DOS(E_F): 5.32 states/eV/cell
- Total magnetic moment: 0.3404 μB per atom
- Formation energy from the elements: 30.2 kcal/mol of atoms
- Calculated volume: 97.9 Å³ per cell

Unit cell a=4.6647 b=4.6647 c=4.5014 alpha=90.00 beta=90.00 gamma=90.00
Positions (direct):
Li 0.0000 0.0000 0.0000
Co 0.5000 0.5000 0.0000
Mo 0.5000 0.5000 0.5000
Ru 0.0000 0.5000 0.5000
Ru 0.5000 0.0000 0.5000

---

Record 6
The following is a GGA-PBE calculation of crystalline Li2CoMoS at its relaxed geometry, from Alexandria via LeMat-Bulk.

Results
- DOS(E_F): 2.89 states/eV/cell
- Total magnetic moment: 0.2601 μB per atom
- Formation energy without anion corrections: 619.0 meV/atom
- Calculated volume: 81.3 Å³ per cell

Unit cell a=4.3070 b=4.3070 c=4.3845 alpha=90.00 beta=90.00 gamma=90.00
Positions (direct):
Li 0.0000 0.5000 0.0000
Li 0.5000 0.0000 0.0000
Co 0.0000 0.0000 0.0000
Mo 0.0000 0.0000 0.5000
S 0.5000 0.5000 0.5000

---

Record 7
The following is a GGA-PBE calculation of crystalline LiCoSbMo2 at its relaxed geometry, from Alexandria via LeMat-Bulk.

Results
- DOS(E_F): 2.64 states/eV/cell
- Total magnetic moment: 1.3781 μB per atom
- Formation energy without anion corrections: 1671.5 meV/atom
- Calculated volume: 123.0 Å³ per cell

Unit cell a=5.1437 b=5.1437 c=4.6500 alpha=90.00 beta=90.00 gamma=90.00
Positions (direct):
Li 0.0000 0.0000 0.0000
Co 0.5000 0.5000 0.0000
Sb 0.5000 0.5000 0.5000
Mo 0.0000 0.5000 0.5000
Mo 0.5000 0.0000 0.5000

---

Record 8
The following is a GGA-PBE calculation of crystalline LiCo2SiMo at its relaxed geometry, from Alexandria via LeMat-Bulk.

Results
- DOS(E_F): 2.92 states/eV/cell
- Total magnetic moment: 0.0000 μB per atom
- Formation energy without anion corrections: 722.2 meV/atom
- Calculated volume: 59.1 Å³ per cell

Unit cell a=3.8162 b=3.8162 c=4.0562 alpha=90.00 beta=90.00 gamma=90.00
Positions (direct):
Li 0.0000 0.0000 0.0000
Co 0.0000 0.5000 0.0000
Co 0.5000 0.0000 0.0000
Si 0.0000 0.0000 0.5000
Mo 0.5000 0.5000 0.5000